This record from the Alexandria database describes KBe2Ni after structural relaxation. The functional is GGA-PBE.

Structure (POSCAR):
```
KBe2Ni
1.0
4.256 0.000 0.000
0.000 3.950 0.000
0.000 0.000 3.950
Ni K Be
1 1 2
Direct
0.500 0.000 0.500
0.500 0.500 0.000
0.000 0.500 0.500
0.000 0.000 0.000
```

**Offset from the most stable computed form**: 1176 meV per atom
**E**: -9.0 eV/f.u.
**Density of states at the Fermi level**: 2.61 states/eV/cell
**Space-group type**: P4/mmm, No. 123
**Formation energy**: 1.321 eV per atom

---

This record from the Alexandria database describes KBe2Ni after structural relaxation. The functional is GGA-PBE.

Structure (POSCAR):
```
KBe2Ni
1.0
-0.754 1.445 -4.392
2.700 -2.832 -2.576
-3.167 -1.180 3.245
Ni Be K
1 2 1
Direct
0.750 0.250 0.500
0.500 0.500 0.000
0.000 0.000 0.000
0.250 0.750 0.500
```

**Offset from the most stable computed form**: 988 meV per atom
**E**: -9.8 eV/f.u.
**Density of states at the Fermi level**: 1.71 states/eV/cell
**Space-group type**: I4/mmm, No. 139
**Formation energy**: 1.134 eV per atom

---

What is the formula in the first record? KBe2Ni

---

Please write out number 2 again, unchanged.
This record from the Alexandria database describes KBe2Ni after structural relaxation. The functional is GGA-PBE.

Structure (POSCAR):
```
KBe2Ni
1.0
-0.754 1.445 -4.392
2.700 -2.832 -2.576
-3.167 -1.180 3.245
Ni Be K
1 2 1
Direct
0.750 0.250 0.500
0.500 0.500 0.000
0.000 0.000 0.000
0.250 0.750 0.500
```

**Offset from the most stable computed form**: 988 meV per atom
**E**: -9.8 eV/f.u.
**Density of states at the Fermi level**: 1.71 states/eV/cell
**Space-group type**: I4/mmm, No. 139
**Formation energy**: 1.134 eV per atom

---

What is the E in the second record? -9.8 eV/f.u.